# 1
An optimized crystal structure of CeMg2Al10, computed with PBE.

```
CeMg2Al10
1.0
0.000 6.472 6.742
2.786 0.000 6.742
2.786 6.472 0.000
Ce Mg Al
1 2 10
Direct
0.000 0.000 0.000 Ce
0.000 0.500 0.000 Mg
0.500 0.000 0.500 Mg
0.000 0.000 0.500 Al
0.009 0.644 0.356 Al
0.288 0.505 0.495 Al
0.356 0.991 0.009 Al
0.495 0.712 0.288 Al
0.500 0.500 0.000 Al
0.505 0.288 0.712 Al
0.644 0.009 0.991 Al
0.712 0.495 0.505 Al
0.991 0.356 0.644 Al
```

SG: Fmmm, No. 69
Density, Mg/m³: 3.13
M_tot, μB/f.u.: 0.05
E_form, eV per atom: -0.0651

# 2
An optimized crystal structure of CeBiPd4, computed with PBE.

```
CeBiPd4
1.0
5.259 0.000 0.000
0.019 7.177 0.000
2.626 2.402 6.321
Ce Bi Pd
2 2 8
Direct
0.148 0.250 0.000 Ce
0.852 0.750 0.000 Ce
0.000 0.000 0.500 Bi
0.500 0.500 0.500 Bi
0.048 0.442 0.309 Pd
0.268 0.847 0.150 Pd
0.357 0.058 0.691 Pd
0.417 0.652 0.850 Pd
0.583 0.348 0.150 Pd
0.643 0.942 0.309 Pd
0.732 0.153 0.850 Pd
0.952 0.558 0.691 Pd
```

SG: P-1, No. 2
Density, Mg/m³: 10.78
M_tot, μB/f.u.: 0.32
E_form, eV per atom: -0.4636
ΔE to the lowest computed polymorph, meV per atom: 79.2

# 3
An optimized crystal structure of In2Ge2Pt, computed with PBE.

```
In2Ge2Pt
1.0
6.485 0.000 0.000
0.000 6.485 0.000
0.000 0.000 5.162
In Ge Pt
4 4 2
Direct
0.179 0.321 0.000 In
0.321 0.821 0.000 In
0.679 0.179 0.000 In
0.821 0.679 0.000 In
0.140 0.640 0.500 Ge
0.360 0.140 0.500 Ge
0.640 0.860 0.500 Ge
0.860 0.360 0.500 Ge
0.000 0.000 0.500 Pt
0.500 0.500 0.500 Pt
```

SG: P4/mbm, No. 127
Density, Mg/m³: 8.72
M_tot, μB/f.u.: 0.00
E_form, eV per atom: -0.1126

# 4
An optimized crystal structure of MgCo2Pd, computed with PBE.

```
MgCo2Pd
1.0
3.534 0.000 0.000
0.000 3.534 0.000
0.000 0.000 18.835
Mg Co Pd
4 8 4
Direct
0.000 0.000 0.000 Mg
0.000 0.500 0.250 Mg
0.500 0.000 0.750 Mg
0.500 0.500 0.500 Mg
0.245 0.250 0.125 Co
0.250 0.745 0.375 Co
0.250 0.755 0.875 Co
0.255 0.250 0.625 Co
0.745 0.750 0.625 Co
0.750 0.245 0.875 Co
0.750 0.255 0.375 Co
0.755 0.750 0.125 Co
0.000 0.000 0.500 Pd
0.000 0.500 0.750 Pd
0.500 0.000 0.250 Pd
0.500 0.500 0.000 Pd
```

SG: I-42d, No. 122
Density, Mg/m³: 7.02
M_tot, μB/f.u.: 3.52
E_form, eV per atom: 0.2603

# 5
An optimized crystal structure of Sr2OsPdN, computed with PBE.

```
Sr2OsPdN
1.0
5.388 0.000 0.000
0.000 5.388 0.000
0.000 0.000 3.792
Sr Os Pd N
2 1 1 1
Direct
0.000 0.500 0.000 Sr
0.500 0.000 0.000 Sr
0.000 0.000 0.500 Os
0.500 0.500 0.500 Pd
0.000 0.000 0.000 N
```

SG: P4/mmm, No. 123
Density, Mg/m³: 7.33
M_tot, μB/f.u.: 0.00
Formation energy (no corrections), kJ/mol of formula units: -173.1

# 6
An optimized crystal structure of CeErAgPb, computed with PBE.

```
CeErAgPb
1.0
7.564 0.000 0.000
0.000 7.564 0.000
0.000 0.000 7.564
Ce Er Ag Pb
4 4 4 4
Direct
0.000 0.000 0.000 Ce
0.000 0.500 0.500 Ce
0.500 0.000 0.500 Ce
0.500 0.500 0.000 Ce
0.000 0.000 0.500 Er
0.000 0.500 0.000 Er
0.500 0.000 0.000 Er
0.500 0.500 0.500 Er
0.250 0.250 0.750 Ag
0.250 0.750 0.250 Ag
0.750 0.250 0.250 Ag
0.750 0.750 0.750 Ag
0.250 0.250 0.250 Pb
0.250 0.750 0.750 Pb
0.750 0.250 0.750 Pb
0.750 0.750 0.250 Pb
```

SG: F-43m, No. 216
Density, Mg/m³: 9.55
M_tot, μB/f.u.: 1.95
E_form, eV per atom: -0.2970

# 7
An optimized crystal structure of Li8TlCd3, computed with PBE.

```
Li8TlCd3
1.0
5.026 -2.963 0.000
5.026 2.963 0.000
-5.018 0.000 8.140
Li Tl Cd
8 1 3
Direct
0.090 0.591 0.182 Li
0.158 0.158 0.316 Li
0.342 0.342 0.683 Li
0.409 0.910 0.818 Li
0.591 0.090 0.182 Li
0.658 0.658 0.317 Li
0.842 0.842 0.684 Li
0.910 0.409 0.818 Li
0.000 0.000 0.500 Tl
0.250 0.750 0.000 Cd
0.500 0.500 0.500 Cd
0.750 0.250 0.000 Cd
```

SG: C2/m, No. 12
Density, Mg/m³: 4.09
M_tot, μB/f.u.: 0.00
E_form, eV per atom: -0.1339

# 8
An optimized crystal structure of Na2UBiO6, computed with PBE.

```
Na2UBiO6
1.0
5.823 0.000 0.000
0.000 5.966 0.000
-5.795 0.000 8.342
Na U Bi O
4 2 2 12
Direct
0.240 0.038 0.248 Na
0.240 0.462 0.748 Na
0.760 0.538 0.252 Na
0.760 0.962 0.752 Na
0.500 0.000 0.000 U
0.500 0.500 0.500 U
0.000 0.000 0.500 Bi
0.000 0.500 0.000 Bi
0.157 0.188 0.949 O
0.157 0.312 0.449 O
0.259 0.713 0.945 O
0.259 0.787 0.445 O
0.364 0.038 0.761 O
0.364 0.462 0.261 O
0.636 0.538 0.739 O
0.636 0.962 0.239 O
0.741 0.213 0.555 O
0.741 0.287 0.055 O
0.843 0.688 0.551 O
0.843 0.812 0.051 O
```

SG: P2_1/c, No. 14
Density, Mg/m³: 6.75
M_tot, μB/f.u.: 0.00
Formation energy (no corrections), kJ/mol of formula units: -2034.8

# 9
An optimized crystal structure of TaRu2, computed with PBE.

```
TaRu2
1.0
5.407 0.000 0.000
0.000 4.245 0.000
0.000 0.000 8.024
Ta Ru
4 8
Direct
0.180 0.250 0.105 Ta
0.320 0.750 0.605 Ta
0.680 0.250 0.395 Ta
0.820 0.750 0.895 Ta
0.049 0.250 0.773 Ru
0.170 0.250 0.438 Ru
0.330 0.750 0.938 Ru
0.451 0.750 0.273 Ru
0.549 0.250 0.727 Ru
0.670 0.250 0.062 Ru
0.830 0.750 0.562 Ru
0.951 0.750 0.227 Ru
```

SG: Pnma, No. 62
Density, Mg/m³: 13.81
M_tot, μB/f.u.: 0.00
E_form, eV per atom: -0.2862

# 10
An optimized crystal structure of NaLa3Os, computed with PBE.

```
NaLa3Os
1.0
10.024 0.000 0.000
0.000 7.254 0.000
-4.669 0.000 9.793
Na La Os
4 12 4
Direct
0.091 0.161 0.086 Na
0.091 0.339 0.586 Na
0.909 0.661 0.414 Na
0.909 0.839 0.914 Na
0.149 0.619 0.243 La
0.149 0.881 0.743 La
0.303 0.069 0.452 La
0.303 0.431 0.952 La
0.437 0.583 0.639 La
0.437 0.917 0.139 La
0.563 0.083 0.861 La
0.563 0.417 0.361 La
0.697 0.569 0.048 La
0.697 0.931 0.548 La
0.851 0.119 0.257 La
0.851 0.381 0.757 La
0.415 0.745 0.881 Os
0.415 0.755 0.381 Os
0.585 0.245 0.619 Os
0.585 0.255 0.119 Os
```

SG: P2_1/c, No. 14
Density, Mg/m³: 5.88
M_tot, μB/f.u.: 0.00
E_form, eV per atom: -0.0185
ΔE to the lowest computed polymorph, meV per atom: 71.8

# 11
An optimized crystal structure of Sr4TeN2, computed with PBE.

```
Sr4TeN2
1.0
6.159 0.000 0.000
0.000 6.159 0.000
0.000 0.000 12.780
Sr Te N
8 2 4
Direct
0.000 0.000 0.239 Sr
0.000 0.000 0.761 Sr
0.000 0.500 0.000 Sr
0.000 0.500 0.500 Sr
0.500 0.000 0.000 Sr
0.500 0.000 0.500 Sr
0.500 0.500 0.261 Sr
0.500 0.500 0.739 Sr
0.000 0.000 0.500 Te
0.500 0.500 0.000 Te
0.000 0.000 0.050 N
0.000 0.000 0.950 N
0.500 0.500 0.450 N
0.500 0.500 0.550 N
```

SG: I4/mmm, No. 139
Density, Mg/m³: 3.47
M_tot, μB/f.u.: 0.00
Formation energy (no corrections), kJ/mol of formula units: -394.8
ΔE to the lowest computed polymorph, meV per atom: 248.9

# 12
An optimized crystal structure of NpVSb3, computed with PBE.

```
NpVSb3
1.0
12.583 0.000 0.000
0.000 6.279 0.000
0.000 0.000 6.010
Np V Sb
4 4 12
Direct
0.192 0.002 0.250 Np
0.192 0.498 0.750 Np
0.808 0.502 0.250 Np
0.808 0.998 0.750 Np
0.397 0.250 0.000 V
0.397 0.250 0.500 V
0.603 0.750 0.000 V
0.603 0.750 0.500 V
0.001 0.250 0.000 Sb
0.001 0.250 0.500 Sb
0.267 0.506 0.250 Sb
0.267 0.994 0.750 Sb
0.436 0.604 0.750 Sb
0.436 0.896 0.250 Sb
0.564 0.104 0.750 Sb
0.564 0.396 0.250 Sb
0.733 0.006 0.250 Sb
0.733 0.494 0.750 Sb
0.999 0.750 0.000 Sb
0.999 0.750 0.500 Sb
```

SG: Pbcm, No. 57
Density, Mg/m³: 9.14
M_tot, μB/f.u.: 4.48
Formation energy (no corrections), kJ/mol of formula units: -97.1

Here are the calculated electronic total energy numbers, same order: -3.646, -5.561, -4.263, -4.989, -5.981, -4.561, -1.836, -6.865, -10.421, -5.485, -4.373, -7.087 (eV per atom).